Here is a relaxed ZrSiSe4 crystal from Alexandria. Energies are from PBE.

Calculated values
Space group: No. 216
Formation energy from raw total energies in eV per formula unit: 3.3
Density in g cm⁻³: 5.83
DOS(E_F) in states/eV/f.u.: 4.697

```
6
Lattice="0.000 3.958 3.958 3.958 0.000 3.958 3.958 3.958 0.000" Properties=species:S:1:pos:R:3 pbc="T T T"
Zr 0.000 0.000 0.000
Si 5.936 5.936 5.936
Se 2.963 4.952 4.952
Se 4.952 4.952 2.963
Se 4.952 2.963 4.952
Se 2.963 2.963 2.963
```